# 1
! BaSmBi (GGA-PBE, relaxed); values from VASP
&SYSTEM
  ibrav = 0, nat = 3, ntyp = 3
/
ATOMIC_SPECIES
Bi 208.98 Bi.upf
Sm 150.36 Sm.upf
Ba 137.33 Ba.upf
ATOMIC_POSITIONS crystal
Bi 0.750 0.750 0.750
Sm 0.000 0.000 0.000
Ba 0.250 0.250 0.250
CELL_PARAMETERS angstrom
-2.367 0.370 4.965
-1.484 4.924 1.987
-5.339 1.309 0.418
! final energy	-3.57	eV per atom

---

# 2
! TmGaNi (GGA-PBE, relaxed); values from VASP
&SYSTEM
  ibrav = 0, nat = 12, ntyp = 3
/
ATOMIC_SPECIES
Ni 58.69 Ni.upf
Ga 69.72 Ga.upf
Tm 168.93 Tm.upf
ATOMIC_POSITIONS crystal
Ni 0.210 0.750 0.093
Ga 0.179 0.250 0.921
Ga 0.321 0.750 0.421
Ni 0.290 0.250 0.593
Tm 0.984 0.750 0.697
Tm 0.516 0.250 0.197
Ga 0.821 0.750 0.079
Ni 0.710 0.750 0.407
Ni 0.790 0.250 0.907
Ga 0.679 0.250 0.579
Tm 0.484 0.750 0.803
Tm 0.016 0.250 0.303
CELL_PARAMETERS angstrom
-5.757 1.211 3.308
1.706 -1.596 3.553
2.425 6.605 1.802
! final energy	-5.03	eV per atom

---

# 3
! KRb2ZrF6 (GGA-PBE, relaxed); values from VASP
&SYSTEM
  ibrav = 0, nat = 10, ntyp = 4
/
ATOMIC_SPECIES
F 19.00 F.upf
Rb 85.47 Rb.upf
Zr 91.22 Zr.upf
K 39.10 K.upf
ATOMIC_POSITIONS crystal
F 0.000 0.500 0.378
F 0.000 0.500 0.622
Rb 0.500 0.500 0.232
F 0.500 0.500 0.000
F 0.500 0.500 0.500
F 0.500 0.000 0.378
F 0.500 0.000 0.622
Rb 0.500 0.500 0.768
Zr 0.000 0.000 0.500
K 0.000 0.000 0.000
CELL_PARAMETERS angstrom
3.785 0.000 0.000
0.000 3.785 0.000
0.000 0.000 11.056
! final energy	-4.72	eV per atom

---

# 4
! Nb2TlCo (GGA-PBE, relaxed); values from VASP
&SYSTEM
  ibrav = 0, nat = 4, ntyp = 3
/
ATOMIC_SPECIES
Nb 92.91 Nb.upf
Co 58.93 Co.upf
Tl 204.38 Tl.upf
ATOMIC_POSITIONS crystal
Nb 0.750 0.750 0.750
Co 0.250 0.250 0.250
Tl 0.500 0.500 0.500
Nb 0.000 0.000 0.000
CELL_PARAMETERS angstrom
0.000 3.266 3.266
3.266 0.000 3.266
3.266 3.266 0.000
! final energy	-6.92	eV per atom

---

# 5
! YHoSiCl2 (GGA-PBE, relaxed); values from VASP
&SYSTEM
  ibrav = 0, nat = 5, ntyp = 4
/
ATOMIC_SPECIES
Cl 35.45 Cl.upf
Ho 164.93 Ho.upf
Y 88.91 Y.upf
Si 28.09 Si.upf
ATOMIC_POSITIONS crystal
Cl 0.000 0.000 0.171
Ho 0.333 0.667 0.332
Y 0.000 0.000 0.667
Si 0.667 0.333 0.499
Cl 0.333 0.667 0.831
CELL_PARAMETERS angstrom
-0.898 2.934 -2.638
1.592 -3.481 -1.311
-8.824 -3.642 -1.048
! final energy	-5.61	eV per atom

---

# 6
! CsDyCo (GGA-PBE, relaxed); values from VASP
&SYSTEM
  ibrav = 0, nat = 3, ntyp = 3
/
ATOMIC_SPECIES
Co 58.93 Co.upf
Dy 162.50 Dy.upf
Cs 132.91 Cs.upf
ATOMIC_POSITIONS crystal
Co 0.000 0.000 0.000
Dy 0.750 0.750 0.750
Cs 0.250 0.250 0.250
CELL_PARAMETERS angstrom
0.000 3.520 3.520
3.520 0.000 3.520
3.520 3.520 0.000
! final energy	-3.17	eV per atom